## i
VASP calculation (PBE-GGA) on a relaxed Ba2MgTlPd crystal.

a b c (Å): 6.156 6.156 5.097
angles (deg): 90.00 90.00 90.00
Space group P4/mmm (No. 123)
Asymmetric unit:
Ba (0.000, 0.500, 0.000) (multiplicity 2)
Mg (0.000, 0.000, 0.500) (multiplicity 1)
Tl (0.500, 0.500, 0.500) (multiplicity 1)
Pd (0.000, 0.000, 0.000) (multiplicity 1)

## ii
VASP calculation (PBE-GGA) on a relaxed Ba2MgTlPd crystal.

a b c (Å): 6.150 6.150 5.320
angles (deg): 90.00 90.00 90.00
Space group P4/mmm (No. 123)
Asymmetric unit:
Ba (0.000, 0.500, 0.000) (multiplicity 2)
Mg (0.000, 0.000, 0.500) (multiplicity 1)
Tl (0.500, 0.500, 0.500) (multiplicity 1)
Pd (0.500, 0.500, 0.000) (multiplicity 1)

Tell me which of them is the least stable. Sure, it is ii.

## i
VASP calculation (PBE-GGA) on a relaxed BaMgZn2Pd crystal.

a b c (Å): 4.465 4.520 11.621
angles (deg): 90.00 90.00 90.00
Space group Imm2 (No. 44)
Asymmetric unit:
Ba (0.000, 0.000, 0.000) (multiplicity 2)
Mg (0.000, 0.500, 0.756) (multiplicity 2)
Zn (0.000, 0.000, 0.613) (multiplicity 2)
Zn (0.000, 0.500, 0.255) (multiplicity 2)
Pd (0.000, 0.000, 0.385) (multiplicity 2)

## ii
VASP calculation (PBE-GGA) on a relaxed BaMgZn2Pd crystal.

a b c (Å): 5.033 5.033 4.990
angles (deg): 90.00 90.00 90.00
Space group P4/mmm (No. 123)
Asymmetric unit:
Ba (0.000, 0.000, 0.000) (multiplicity 1)
Mg (0.500, 0.500, 0.000) (multiplicity 1)
Zn (0.000, 0.500, 0.500) (multiplicity 2)
Pd (0.500, 0.500, 0.500) (multiplicity 1)

Tell me which of them is the least stable. Sure, it is ii.